First-principles (PBE) data for K2LiHg after structural relaxation, as listed in the Alexandria database.

Geometry as POSCAR:
```
K2LiHg
1.0
4.278 0.000 0.000
0.000 4.314 0.000
0.000 0.000 8.934
K Li Hg
2 1 1
direct
0.000 0.000 0.235
0.000 0.000 0.765
0.500 0.500 0.500
0.500 0.500 0.000
```

Calculated values
- Formation enthalpy at 0 K: -20 meV/atom
- N(E_F): 3.09 states/eV/cell
- Volume: 164.9 Å³ per cell